[1]
A plane-wave DFT calculation with PBE was carried out for a relaxed YTl2Sn crystal.

Geometry as extended XYZ:
```
4
Lattice="5.074 0.000 0.000 0.000 4.622 0.000 0.000 0.000 4.622" Properties=species:S:1:pos:R:3 pbc="T T T"
Sn 2.537 0.000 0.000
Tl 0.000 0.000 2.311
Tl 0.000 2.311 0.000
Y 2.537 2.311 2.311
```

Values from the calculation:
uncorrected energy	-4.111	eV per atom
crystal system	tetragonal
DOS at the Fermi energy	1.76	states/eV/cell
size of the total moment	0.000	μB/atom
excess energy over the best structure of this formula in the dataset	0	meV per atom
SG	P4/mmm


[2]
A plane-wave DFT calculation with PBE was carried out for a relaxed Y6Tl5Sn crystal.

Geometry as extended XYZ:
```
12
Lattice="-4.122 0.216 -3.452 -1.773 -7.007 5.878 1.259 8.645 3.237" Properties=species:S:1:pos:R:3 pbc="T T T"
Y -3.991 -1.181 4.699
Y -0.645 3.034 0.963
Y -1.441 1.292 6.004
Y -2.992 3.973 3.830
Y -3.194 0.561 -0.341
Y -1.643 -2.119 1.833
Tl -2.318 0.927 2.831
Tl 0.244 3.403 4.122
Tl -0.758 -1.766 4.994
Tl -3.310 -4.196 3.696
Tl -1.325 6.049 1.967
Sn 0.000 0.000 0.000
```

Values from the calculation:
uncorrected energy	-4.970	eV per atom
crystal system	monoclinic
DOS at the Fermi energy	6.74	states/eV/cell
size of the total moment	0.000	μB/atom
SG	C2/m


[3]
A plane-wave DFT calculation with PBE was carried out for a relaxed Y3Tl2Sn crystal.

Geometry as extended XYZ:
```
24
Lattice="4.655 0.000 0.000 0.000 11.745 0.000 0.000 0.000 12.683" Properties=species:S:1:pos:R:3 pbc="T T T"
Tl 3.492 3.434 6.239
Tl 3.492 2.439 12.580
Tl 3.492 0.293 8.641
Tl 3.492 5.580 2.300
Tl 1.164 8.311 6.444
Tl 1.164 9.306 0.102
Tl 1.164 6.165 10.383
Tl 1.164 11.452 4.041
Sn 3.492 10.341 11.125
Sn 1.164 4.468 7.899
Sn 1.164 1.404 1.557
Sn 3.492 7.277 4.784
Y 3.492 10.914 1.693
Y 1.164 8.106 2.858
Y 1.164 0.831 10.990
Y 3.492 7.235 12.051
Y 3.492 3.639 9.825
Y 1.164 1.363 6.973
Y 1.164 4.510 0.632
Y 3.492 6.704 8.034
Y 3.492 10.382 5.710
Y 1.164 5.041 4.648
Y 1.164 9.511 9.199
Y 3.492 2.234 3.484
```

Values from the calculation:
uncorrected energy	-5.078	eV per atom
crystal system	orthorhombic
DOS at the Fermi energy	16.72	states/eV/cell
size of the total moment	0.000	μB/atom
SG	Pnma


[4]
A plane-wave DFT calculation with PBE was carried out for a relaxed Y2TlSn crystal.

Geometry as extended XYZ:
```
8
Lattice="-1.163 -2.033 -3.642 1.015 -5.455 2.721 -8.597 2.832 1.164" Properties=species:S:1:pos:R:3 pbc="T T T"
Tl -1.700 -1.612 0.155
Tl -7.045 -3.044 0.087
Y -4.378 -1.532 -1.608
Y -4.367 -3.123 1.850
Y -8.611 -0.175 -1.015
Y -0.134 -4.481 1.257
Sn -6.014 -0.286 0.793
Sn -2.731 -4.370 -0.550
```

Values from the calculation:
uncorrected energy	-5.401	eV per atom
crystal system	monoclinic
DOS at the Fermi energy	6.23	states/eV/cell
size of the total moment	0.000	μB/atom
SG	P2_1/m


[5]
A plane-wave DFT calculation with PBE was carried out for a relaxed Y2TlSn4 crystal.

Geometry as extended XYZ:
```
7
Lattice="1.660 6.245 -0.466 1.043 -0.687 -6.357 -5.883 -1.637 2.542" Properties=species:S:1:pos:R:3 pbc="T T T"
Sn 0.874 1.128 -4.946
Sn 0.353 1.471 -1.768
Sn 1.703 4.250 -5.180
Sn 1.182 4.593 -2.001
Tl -1.238 3.432 -3.909
Y -1.759 3.775 -0.730
Y -2.068 0.309 -3.675
```

Values from the calculation:
uncorrected energy	-4.844	eV per atom
crystal system	orthorhombic
DOS at the Fermi energy	3.78	states/eV/cell
size of the total moment	0.000	μB/atom
SG	Fmmm


[6]
A plane-wave DFT calculation with PBE was carried out for a relaxed Y6Tl5Sn crystal.

Geometry as extended XYZ:
```
12
Lattice="-1.543 7.166 6.603 -3.227 -0.663 3.844 4.065 -3.066 6.217" Properties=species:S:1:pos:R:3 pbc="T T T"
Y -3.571 4.907 7.845
Y -0.620 -0.866 9.331
Y -0.085 4.303 7.333
Y -0.927 0.391 5.956
Y 0.223 3.046 10.709
Y -1.199 1.596 2.602
Tl 0.512 -2.463 6.672
Tl 1.404 1.427 8.089
Tl 0.327 -1.266 3.390
Tl -2.385 3.252 5.224
Tl -2.109 2.010 8.575
Sn 0.000 0.000 0.000
```

Values from the calculation:
uncorrected energy	-4.970	eV per atom
crystal system	orthorhombic
DOS at the Fermi energy	8.73	states/eV/cell
size of the total moment	0.000	μB/atom
SG	Cmmm